This record from the Alexandria database describes a relaxed SrThAu crystal. The functional is PBE.

As for the formation energy: -286 meV per atom. For the raw total energy, the calculation gives -4.413 eV/atom. As for the symmetry: Cmmm (65). For the magnetization, the calculation gives 0.0 μB per cell.

abc: 5.3634 3.7963 13.2768
angles: 90.00 90.00 134.94
Closest atoms and distances in Å follow each position.
Atoms (fractional coordinates):
1 Th 0.6944 0.3889 0.3741  4 Au 3.16, 1 Th 3.34
2 Th 0.6944 0.3889 0.6259  4 Au 3.16, 1 Th 3.34
3 Sr 0.1944 0.3889 0.1430  4 Au 3.29
4 Sr 0.1944 0.3889 0.8570  4 Au 3.29
5 Au 0.6944 0.3889 0.0000  8 Sr 3.29
6 Au 0.1944 0.3888 0.5000  8 Th 3.16